(1)
Computed, not measured: a PBEsol-optimized structure of AlCN2 at the meta-GGA SCAN level of DFT.

The structure in POSCAR format:
```
AlCN2
1.0
3.5699 0.0000 0.0000
1.7849 3.0916 0.0000
1.7849 1.0305 2.9148
Al N C
1 2 1
direct
0.5000 0.5000 0.5000
0.7500 0.7500 0.7500
0.2500 0.2500 0.2500
0.0000 0.0000 0.0000
```

ΔE_f (raw)   2.14 eV per atom
SG   Fm-3m (225)
DFT total energy   -27.86 eV/cell

(2)
Computed, not measured: a PBEsol-optimized structure of AlPtCN2 at the meta-GGA SCAN level of DFT.

The structure in POSCAR format:
```
AlPtCN2
1.0
3.6867 0.0000 0.0000
0.0000 3.6867 0.0000
0.0000 0.0000 3.8871
C Al Pt N
1 1 1 2
direct
0.0000 0.0000 0.5000
0.0000 0.0000 0.0000
0.5000 0.5000 0.5000
0.5000 0.0000 0.0000
0.0000 0.5000 0.0000
```

ΔE_f (raw)   1.67 eV per atom
SG   P4/mmm (123)
DFT total energy   -98.30 eV/cell

(3)
Computed, not measured: a PBEsol-optimized structure of AlCSe2N at the meta-GGA SCAN level of DFT.

The structure in POSCAR format:
```
AlCSe2N
1.0
2.5099 0.0000 0.0000
0.0000 5.7343 0.0000
0.0000 0.0000 5.7343
Se C N Al
2 1 1 1
direct
0.0000 0.0000 0.5000
0.0000 0.5000 0.0000
0.0000 0.0000 0.0000
0.5000 0.0000 0.0000
0.5000 0.5000 0.5000
```

ΔE_f (raw)   0.63 eV per atom
SG   P4/mmm (123)
DFT total energy   -64.14 eV/cell

(4)
Computed, not measured: a PBEsol-optimized structure of Ti8Al4CN3 at the meta-GGA SCAN level of DFT.

The structure in POSCAR format:
```
Ti8Al4CN3
1.0
-0.2692 2.0274 -2.1746
0.5400 -2.8561 -0.6805
-26.6735 -4.7701 -1.1447
Al N Ti C
4 3 8 1
direct
0.6667 0.3333 0.6264
0.3333 0.6667 0.8755
0.3333 0.6667 0.3736
0.6667 0.3333 0.1245
0.0000 0.0000 0.0000
0.0000 0.0000 0.7509
0.0000 0.0000 0.2491
0.3333 0.6667 0.7089
0.6667 0.3333 0.9577
0.3333 0.6667 0.2066
0.6667 0.3333 0.2911
0.3333 0.6667 0.5427
0.6667 0.3333 0.4573
0.3333 0.6667 0.0423
0.6667 0.3333 0.7934
0.0000 0.0000 0.5000
```

ΔE_f (raw)   -1.17 eV per atom
SG   P-3m1 (164)
DFT total energy   -215.99 eV/cell

(5)
Computed, not measured: a PBEsol-optimized structure of Na2AlPCO7 at the meta-GGA SCAN level of DFT.

The structure in POSCAR format:
```
Na2AlPCO7
1.0
5.1466 0.0000 -0.0211
0.0000 6.3359 0.0000
-0.3108 0.0000 8.8687
P Na C O Al
2 4 2 14 2
direct
0.7244 0.7500 0.5684
0.2756 0.2500 0.4316
0.7671 0.0071 0.2246
0.2329 0.9929 0.7754
0.2329 0.5071 0.7754
0.7671 0.4929 0.2246
0.7196 0.2500 0.9109
0.2804 0.7500 0.0891
0.8773 0.7500 0.4215
0.0502 0.7500 0.1463
0.7947 0.5525 0.6620
0.2053 0.4475 0.3380
0.5736 0.2500 0.4723
0.6755 0.2500 0.0484
0.9498 0.2500 0.8537
0.2053 0.0525 0.3380
0.4657 0.7500 0.1969
0.3245 0.7500 0.9516
0.1227 0.2500 0.5785
0.4264 0.7500 0.5277
0.7947 0.9475 0.6620
0.5343 0.2500 0.8031
0.7846 0.2500 0.6466
0.2154 0.7500 0.3534
```

ΔE_f (raw)   -2.43 eV per atom
SG   P2_1/m (11)
DFT total energy   -218.92 eV/cell

(6)
Computed, not measured: a PBEsol-optimized structure of NaAl2TcC at the meta-GGA SCAN level of DFT.

The structure in POSCAR format:
```
NaAl2TcC
1.0
-1.3609 0.5512 -4.3277
0.3378 -4.6411 -0.6973
-4.4792 -0.5275 1.3414
Al Tc Na C
2 1 1 1
direct
0.0000 0.0000 0.5000
0.0000 0.5000 0.0000
0.5000 0.0000 0.0000
0.0000 0.0000 0.0000
0.5000 0.5000 0.5000
```

SG   P4/mmm (123)
Energy relative to the elements   14.71 eV/f.u.
DFT total energy   -50.16 eV/cell

(7)
Computed, not measured: a PBEsol-optimized structure of Nb3AlC2 at the meta-GGA SCAN level of DFT.

The structure in POSCAR format:
```
Nb3AlC2
1.0
-2.2673 1.9435 0.8663
1.1786 -2.0240 2.0452
13.0746 12.9145 5.2461
Nb Al C
6 2 4
direct
0.6667 0.3333 0.3664
0.6667 0.3333 0.1336
0.3333 0.6667 0.6336
0.0000 0.0000 0.5000
0.0000 0.0000 0.0000
0.3333 0.6667 0.8664
0.0000 0.0000 0.2500
0.0000 0.0000 0.7500
0.3333 0.6667 0.0693
0.3333 0.6667 0.4307
0.6667 0.3333 0.9307
0.6667 0.3333 0.5693
```

SG   P6_3/mmc (194)
Energy relative to the elements   -3.37 eV/f.u.
DFT total energy   -261.42 eV/cell

(8)
Computed, not measured: a PBEsol-optimized structure of Ti3NbAl2C2 at the meta-GGA SCAN level of DFT.

The structure in POSCAR format:
```
Ti3NbAl2C2
1.0
3.0476 0.0000 0.0000
-1.5238 2.6393 0.0000
0.0000 0.0000 13.7424
Ti Al C Nb
3 2 2 1
direct
0.3333 0.6667 0.4132
0.0000 0.0000 0.9175
0.3333 0.6667 0.0835
0.3333 0.6667 0.7539
0.0000 0.0000 0.2479
0.6667 0.3333 0.0007
0.6667 0.3333 0.4947
0.0000 0.0000 0.5886
```

SG   P3m1 (156)
Energy relative to the elements   -5.91 eV/f.u.
DFT total energy   -122.83 eV/cell

(9)
Computed, not measured: a PBEsol-optimized structure of TiNb3Al2C2 at the meta-GGA SCAN level of DFT.

The structure in POSCAR format:
```
TiNb3Al2C2
1.0
-2.6682 -0.6109 -1.4149
1.8051 -2.3100 0.9485
-6.4814 -0.0395 12.2393
C Nb Al Ti
2 3 2 1
direct
0.6667 0.3333 0.9992
0.6667 0.3333 0.5052
0.3333 0.6667 0.0892
0.0000 0.0000 0.9095
0.3333 0.6667 0.4129
0.0000 0.0000 0.2510
0.3333 0.6667 0.7472
0.0000 0.0000 0.5859
```

SG   P3m1 (156)
Energy relative to the elements   -4.93 eV/f.u.
DFT total energy   -156.05 eV/cell

(10)
Computed, not measured: a PBEsol-optimized structure of NbAlVC at the meta-GGA SCAN level of DFT.

The structure in POSCAR format:
```
NbAlVC
1.0
-0.2132 1.1384 -2.7767
-2.4804 -0.8706 1.4634
-1.2868 12.3284 5.1533
Nb V C Al
2 2 2 2
direct
0.6667 0.3333 0.5952
0.3333 0.6667 0.4048
0.3333 0.6667 0.0787
0.6667 0.3333 0.9213
0.0000 0.0000 0.5000
0.0000 0.0000 0.0000
0.6667 0.3333 0.2359
0.3333 0.6667 0.7641
```

SG   P-3m1 (164)
Energy relative to the elements   -2.06 eV/f.u.
DFT total energy   -141.06 eV/cell

(11)
Computed, not measured: a PBEsol-optimized structure of Al4Ni12C at the meta-GGA SCAN level of DFT.

The structure in POSCAR format:
```
Al4Ni12C
1.0
-2.2506 2.0772 1.9442
1.6831 -1.0266 3.0451
8.7315 10.6248 -1.2441
Ni C Al
12 1 4
direct
0.5000 0.0000 0.5000
0.5000 0.0000 0.0000
0.0000 0.5000 0.0000
0.5000 0.0000 0.7430
0.0000 0.5000 0.7430
0.5000 0.5000 0.8666
0.0000 0.5000 0.2570
0.0000 0.5000 0.5000
0.5000 0.5000 0.1334
0.5000 0.5000 0.6228
0.5000 0.0000 0.2570
0.5000 0.5000 0.3772
0.5000 0.5000 0.0000
0.0000 0.0000 0.8604
0.0000 0.0000 0.1396
0.0000 0.0000 0.3804
0.0000 0.0000 0.6196
```

SG   P4/mmm (123)
Energy relative to the elements   -6.86 eV/f.u.
DFT total energy   -242.04 eV/cell

(12)
Computed, not measured: a PBEsol-optimized structure of AlNiOs2C at the meta-GGA SCAN level of DFT.

The structure in POSCAR format:
```
AlNiOs2C
1.0
-3.9338 1.1532 -0.6230
-0.5791 -3.4217 -2.6771
-1.2586 -2.4528 3.4073
Os Al Ni C
2 1 1 1
direct
0.0000 0.5000 0.0000
0.0000 0.0000 0.5000
0.5000 0.0000 0.0000
0.0000 0.0000 0.0000
0.5000 0.5000 0.5000
```

SG   P4/mmm (123)
Energy relative to the elements   12.52 eV/f.u.
DFT total energy   -165.26 eV/cell

(13)
Computed, not measured: a PBEsol-optimized structure of Ti3Al2NiC at the meta-GGA SCAN level of DFT.

The structure in POSCAR format:
```
Ti3Al2NiC
1.0
-1.0159 -2.1534 7.6621
5.9026 -3.7560 3.9280
4.0166 3.8135 5.8054
Al Ti Ni C
8 12 4 4
direct
0.7490 0.4170 0.4170
0.8330 0.5010 0.8330
0.4170 0.4170 0.4170
0.4170 0.7490 0.4170
0.8330 0.8330 0.8330
0.5010 0.8330 0.8330
0.4170 0.4170 0.7490
0.8330 0.8330 0.5010
0.1896 0.8104 0.8104
0.4396 0.0604 0.0604
0.0604 0.0604 0.4396
0.8104 0.1896 0.1896
0.8104 0.8104 0.1896
0.0604 0.4396 0.4396
0.8104 0.1896 0.8104
0.1896 0.8104 0.1896
0.0604 0.4396 0.0604
0.4396 0.4396 0.0604
0.4396 0.0604 0.4396
0.1896 0.1896 0.8104
0.6250 0.6250 0.6250
0.6250 0.6250 0.1250
0.6250 0.1250 0.6250
0.1250 0.6250 0.6250
0.1250 0.6250 0.1250
0.1250 0.1250 0.1250
0.6250 0.1250 0.1250
0.1250 0.1250 0.6250
```

SG   Fd-3m (227)
Energy relative to the elements   -5.36 eV/f.u.
DFT total energy   -380.92 eV/cell

(14)
Computed, not measured: a PBEsol-optimized structure of Al2CO at the meta-GGA SCAN level of DFT.

The structure in POSCAR format:
```
Al2CO
1.0
5.0758 0.0000 0.0000
0.0000 5.6170 0.0000
0.0000 0.0000 6.2701
C O Al
4 4 8
direct
0.4832 0.3981 0.8766
0.9832 0.6019 0.1234
0.9832 0.1019 0.3766
0.4832 0.8981 0.6234
0.9810 0.0797 0.8762
0.4810 0.9203 0.1238
0.9810 0.5797 0.6238
0.4810 0.4203 0.3762
0.5992 0.0764 0.8666
0.1026 0.9184 0.6184
0.6026 0.5816 0.1184
0.0992 0.4236 0.3666
0.1026 0.4184 0.8816
0.0992 0.9236 0.1334
0.6026 0.0816 0.3816
0.5992 0.5764 0.6334
```

ΔE_f (raw)   -1.45 eV per atom
SG   Pna2_1 (33)
DFT total energy   -150.60 eV/cell

(15)
Computed, not measured: a PBEsol-optimized structure of Al2CO at the meta-GGA SCAN level of DFT.

The structure in POSCAR format:
```
Al2CO
1.0
4.4177 0.0000 0.0000
0.0000 4.4177 0.0000
-2.2088 -2.2088 4.6003
Al C O
4 2 2
direct
0.3845 0.8750 0.2500
0.6250 0.6155 0.7500
0.1250 0.1345 0.7500
0.8655 0.3750 0.2500
0.7500 0.2500 0.5000
0.5000 0.5000 0.0000
0.0000 0.0000 0.0000
0.2500 0.7500 0.5000
```

ΔE_f (raw)   -1.43 eV per atom
SG   I-42d (122)
DFT total energy   -75.13 eV/cell

(16)
Computed, not measured: a PBEsol-optimized structure of Al4CO4 at the meta-GGA SCAN level of DFT.

The structure in POSCAR format:
```
Al4CO4
1.0
-5.0886 -0.6342 -0.4823
2.6430 -3.6117 -2.5493
-0.0465 -5.2886 7.4445
Al O C
8 8 2
direct
0.0617 0.9383 0.2105
0.6023 0.3977 0.7896
0.1071 0.4348 0.0005
0.8929 0.5652 0.5005
0.5652 0.8929 0.0005
0.3977 0.6023 0.2896
0.9383 0.0617 0.7105
0.4348 0.1071 0.5005
0.1954 0.8046 0.0552
0.4424 0.5576 0.9108
0.1791 0.3101 0.1764
0.8046 0.1954 0.5552
0.5576 0.4424 0.4108
0.6899 0.8209 0.1764
0.8209 0.6899 0.6764
0.3101 0.1791 0.6764
0.1945 0.8055 0.3850
0.8055 0.1945 0.8850
```

ΔE_f (raw)   -2.55 eV per atom
SG   Cmc2_1 (36)
DFT total energy   -177.99 eV/cell

(17)
Computed, not measured: a PBEsol-optimized structure of AlSbCO2 at the meta-GGA SCAN level of DFT.

The structure in POSCAR format:
```
AlSbCO2
1.0
3.7856 0.0000 0.0000
0.0000 4.0179 0.0000
0.0000 0.0000 4.0179
C Sb O Al
1 1 2 1
direct
0.0000 0.0000 0.0000
0.5000 0.5000 0.5000
0.0000 0.5000 0.0000
0.0000 0.0000 0.5000
0.5000 0.0000 0.0000
```

ΔE_f (raw)   0.72 eV per atom
SG   P4/mmm (123)
DFT total energy   -63.99 eV/cell

(18)
Computed, not measured: a PBEsol-optimized structure of AlP3C at the meta-GGA SCAN level of DFT.

The structure in POSCAR format:
```
AlP3C
1.0
-0.8829 -2.6746 2.8606
0.5193 -2.9864 -2.6320
3.8816 -0.2088 1.0028
C P Al
1 3 1
direct
0.0000 0.0000 0.0000
0.5000 0.0000 0.0000
0.0000 0.0000 0.5000
0.0000 0.5000 0.0000
0.5000 0.5000 0.5000
```

SG   Pm-3m (221)
Energy relative to the elements   5.64 eV/f.u.
DFT total energy   -43.41 eV/cell

(19)
Computed, not measured: a PBEsol-optimized structure of Al3PdC at the meta-GGA SCAN level of DFT.

The structure in POSCAR format:
```
Al3PdC
1.0
3.9995 0.0000 0.0000
0.0000 3.9995 0.0000
0.0000 0.0000 3.9995
Pd Al C
1 3 1
direct
0.5000 0.5000 0.5000
0.5000 0.0000 0.0000
0.0000 0.5000 0.0000
0.0000 0.0000 0.5000
0.0000 0.0000 0.0000
```

SG   Pm-3m (221)
Energy relative to the elements   -0.84 eV/f.u.
DFT total energy   -66.97 eV/cell

(20)
Computed, not measured: a PBEsol-optimized structure of AlSnPd2C at the meta-GGA SCAN level of DFT.

The structure in POSCAR format:
```
AlSnPd2C
1.0
-0.9373 2.5314 -4.0801
-0.3437 -4.1818 -2.5156
-4.8755 -0.1988 0.9966
C Al Pd Sn
1 1 2 1
direct
0.5000 0.5000 0.5000
0.0000 0.0000 0.5000
0.0000 0.5000 0.0000
0.5000 0.0000 0.0000
0.0000 0.0000 0.0000
```

SG   P4/mmm (123)
Energy relative to the elements   9.93 eV/f.u.
DFT total energy   -109.39 eV/cell